(1)
Compound: NdInSn2
Source: Alexandria
Functional: PBE-GGA
Structure: optimized geometry

```
NdInSn2
1.0
4.0353 0.0000 0.0000
0.0000 4.0353 0.0000
0.0000 0.0000 6.7756
Sn Nd In
2 1 1
Direct
0.0000 0.0000 0.2274
0.0000 0.0000 0.7726
0.5000 0.5000 0.5000
0.5000 0.5000 0.0000
```

- energy of formation (meV per atom) = -362
- density (Mg/m³) = 7.47
- N(E_F) (states/eV/cell) = 2.9

(2)
Compound: TlHg2Mo
Source: Alexandria
Functional: PBE-GGA
Structure: optimized geometry

```
TlHg2Mo
1.0
5.6815 0.0040 0.0000
2.6008 5.0512 0.0000
-4.1411 -2.5276 2.9565
Mo Tl Hg
1 1 2
Direct
0.5000 0.5000 0.0000
0.7500 0.2500 0.5000
0.2500 0.7500 0.5000
0.0000 0.0000 0.0000
```

- energy of formation (meV per atom) = 701
- excess energy over the best structure of this formula in the dataset (eV per atom) = 0.1881
- density (Mg/m³) = 13.73
- N(E_F) (states/eV/cell) = 1.9

(3)
Compound: NiSb2P
Source: Alexandria
Functional: PBE-GGA
Structure: optimized geometry

```
NiSb2P
1.0
3.7066 0.0000 0.0000
0.0000 3.9847 0.0000
0.0000 0.0000 5.4006
Ni Sb P
1 2 1
Direct
0.5000 0.5000 0.0000
0.5000 0.5000 0.5000
0.0000 0.0000 0.0000
0.0000 0.0000 0.5000
```

- density (Mg/m³) = 6.94
- N(E_F) (states/eV/cell) = 2.3
- uncorrected formation energy (meV/atom) = 87

(4)
Compound: BiNCl3
Source: Alexandria
Functional: PBE-GGA
Structure: optimized geometry

```
BiNCl3
1.0
4.5774 0.0000 0.0000
0.0000 4.5774 0.0000
0.0000 0.0000 4.5774
Cl Bi N
3 1 1
Direct
0.0000 0.5000 0.0000
0.0000 0.0000 0.5000
0.5000 0.0000 0.0000
0.5000 0.5000 0.5000
0.0000 0.0000 0.0000
```

- excess energy over the best structure of this formula in the dataset (eV per atom) = 0.4912
- density (Mg/m³) = 5.70
- N(E_F) (states/eV/cell) = 3.5
- uncorrected formation energy (meV/atom) = 762

(5)
Compound: TlHg2Ru
Source: Alexandria
Functional: PBE-GGA
Structure: optimized geometry

```
TlHg2Ru
1.0
4.7127 -0.1483 -0.4748
-2.2105 5.5830 0.3104
0.2916 1.0206 3.2681
Tl Hg Ru
1 2 1
Direct
0.5000 0.5000 0.0000
0.5000 0.0000 0.5000
0.0000 0.0000 0.0000
0.0000 0.5000 0.5000
```

- energy of formation (meV per atom) = 512
- excess energy over the best structure of this formula in the dataset (eV per atom) = 0.1719
- density (Mg/m³) = 13.76
- N(E_F) (states/eV/cell) = 2.3

(6)
Compound: Nd2Sm5DyHo
Source: Alexandria
Functional: PBE-GGA
Structure: optimized geometry

```
Nd2Sm5DyHo
1.0
8.6500 0.0000 0.0000
0.0000 8.6500 0.0000
-4.3250 -4.3250 8.1475
Sm Dy Ho Nd
10 2 2 4
Direct
0.3563 0.8563 0.2838
0.8563 0.9275 0.2838
0.6437 0.1437 0.7162
0.0725 0.5725 0.7162
0.5000 0.5000 0.0000
0.1437 0.0725 0.7162
0.4275 0.3563 0.2838
0.9275 0.4275 0.2838
0.5725 0.6437 0.7162
0.0000 0.0000 0.0000
0.7500 0.7500 0.5000
0.2500 0.2500 0.5000
0.7500 0.2500 0.5000
0.2500 0.7500 0.5000
0.8800 0.6200 0.0000
0.3800 0.8800 0.0000
0.1200 0.3800 0.0000
0.6200 0.1200 0.0000
```

- energy of formation (meV per atom) = 275
- density (Mg/m³) = 7.45
- N(E_F) (states/eV/cell) = 26.5

(7)
Compound: KRuPt2
Source: Alexandria
Functional: PBE-GGA
Structure: optimized geometry

```
KRuPt2
1.0
2.7114 0.0000 0.0000
0.0000 4.1387 0.0000
0.0000 0.0000 7.3436
K Ru Pt
1 1 2
Direct
0.5000 0.5000 0.7558
0.0000 0.0000 0.4066
0.0000 0.0000 0.0599
0.5000 0.5000 0.2777
```

- energy of formation (meV per atom) = 416
- excess energy over the best structure of this formula in the dataset (eV per atom) = 0.2661
- density (Mg/m³) = 10.69
- N(E_F) (states/eV/cell) = 3.4

(8)
Compound: MgNbCu
Source: Alexandria
Functional: PBE-GGA
Structure: optimized geometry

```
MgNbCu
1.0
2.8895 0.0000 0.0000
0.0000 2.8895 0.0000
-1.4448 -1.4448 5.9552
Cu Nb Mg
1 1 1
Direct
0.6665 0.6665 0.3329
0.3199 0.3199 0.6398
0.0136 0.0136 0.0273
```

- energy of formation (meV per atom) = 80
- excess energy over the best structure of this formula in the dataset (eV per atom) = 0.0372
- density (Mg/m³) = 6.04
- N(E_F) (states/eV/cell) = 2.8

(9)
Compound: SmHo2In
Source: Alexandria
Functional: PBE-GGA
Structure: optimized geometry

```
SmHo2In
1.0
-1.1488 -4.7029 0.0517
1.2389 -0.3543 -4.6980
4.5674 -1.1015 1.2875
In Sm Ho
1 1 2
Direct
0.5000 0.5000 0.5000
0.5000 0.0000 0.0000
0.0000 0.0000 0.5000
0.0000 0.5000 0.0000
```

- energy of formation (meV per atom) = -264
- excess energy over the best structure of this formula in the dataset (eV per atom) = 0.0000
- density (Mg/m³) = 8.60
- N(E_F) (states/eV/cell) = 6.2

(10)
Compound: Pm2Al4AgHg3
Source: Alexandria
Functional: PBE-GGA
Structure: optimized geometry

```
Pm2Al4AgHg3
1.0
4.4113 0.0000 0.0000
0.0000 4.4113 0.0000
0.0000 0.0000 11.1853
Pm Al Hg Ag
2 4 3 1
Direct
0.0000 0.5000 0.7469
0.5000 0.0000 0.2531
0.5000 0.5000 0.0000
0.0000 0.0000 0.0000
0.0000 0.5000 0.3679
0.5000 0.0000 0.6321
0.5000 0.0000 0.8609
0.0000 0.0000 0.5000
0.0000 0.5000 0.1391
0.5000 0.5000 0.5000
```

- energy of formation (meV per atom) = -330
- density (Mg/m³) = 8.45
- N(E_F) (states/eV/cell) = 4.4

(11)
Compound: Zr2SbTe2
Source: Alexandria
Functional: PBE-GGA
Structure: optimized geometry

```
Zr2SbTe2
1.0
-0.0129 7.5429 3.0107
-8.0943 0.2343 -0.6218
-0.3060 -1.3826 3.4626
Zr Te Sb
4 4 2
Direct
0.1477 0.3523 0.0000
0.8523 0.6477 0.0000
0.6477 0.1477 0.0000
0.3523 0.8523 0.0000
0.6419 0.8581 0.5000
0.8581 0.3581 0.5000
0.1419 0.6419 0.5000
0.3581 0.1419 0.5000
0.0000 0.0000 0.0000
0.5000 0.5000 0.0000
```

- density (Mg/m³) = 7.53
- N(E_F) (states/eV/cell) = 6.6
- uncorrected formation energy (meV/atom) = -657

(12)
Compound: Sc2InPt
Source: Alexandria
Functional: PBE-GGA
Structure: optimized geometry

```
Sc2InPt
1.0
5.4725 -0.0082 0.0000
2.3532 4.9408 0.0000
-3.9129 -2.4663 2.9250
Sc Pt In
2 1 1
Direct
0.0000 0.0000 0.0000
0.2500 0.7500 0.5000
0.7500 0.2500 0.5000
0.5000 0.5000 0.0000
```

- energy of formation (meV per atom) = -669
- density (Mg/m³) = 8.39
- N(E_F) (states/eV/cell) = 3.3

(13)
Compound: Nd2MnWN5
Source: Alexandria
Functional: PBE-GGA
Structure: optimized geometry

```
Nd2MnWN5
1.0
3.4437 0.0000 0.0000
-1.7219 6.9639 0.0000
0.0000 0.0000 9.8454
N W Nd Mn
10 2 4 2
Direct
0.5050 0.0100 0.7988
0.0500 0.1001 0.0493
0.4950 0.9900 0.2988
0.2995 0.5991 0.6372
0.6528 0.3056 0.5042
0.9500 0.8999 0.5493
0.3472 0.6944 0.0042
0.3071 0.6141 0.3760
0.6929 0.3859 0.8760
0.7005 0.4009 0.1372
0.5695 0.1391 0.9621
0.4305 0.8609 0.4621
0.8660 0.7320 0.8034
0.8716 0.7432 0.1748
0.1340 0.2680 0.3034
0.1284 0.2568 0.6748
0.2137 0.4274 0.0180
0.7863 0.5726 0.5180
```

- density (Mg/m³) = 8.40
- N(E_F) (states/eV/cell) = 4.6
- uncorrected formation energy (meV/atom) = -788

(14)
Compound: MgSc2
Source: Alexandria
Functional: PBE-GGA
Structure: optimized geometry

```
MgSc2
1.0
3.2515 0.0000 0.0000
-1.6257 2.8158 0.0000
0.0000 0.0000 7.9552
Mg Sc
1 2
Direct
0.0000 0.0000 0.0000
0.6667 0.3333 0.6629
0.3333 0.6667 0.3371
```

- energy of formation (meV per atom) = 11
- density (Mg/m³) = 2.60
- N(E_F) (states/eV/cell) = 3.3

(15)
Compound: NaNpSnO6
Source: Alexandria
Functional: PBE-GGA
Structure: optimized geometry

```
NaNpSnO6
1.0
5.5186 0.0000 0.0000
-2.7593 4.7792 0.0000
0.0000 0.0000 10.3014
O Np Na Sn
12 2 2 2
Direct
0.3702 0.3622 0.3569
0.0080 0.6378 0.8569
0.9920 0.3622 0.1431
0.6378 0.0080 0.3569
0.9920 0.6298 0.3569
0.3702 0.0080 0.1431
0.6298 0.6378 0.6431
0.6378 0.6298 0.1431
0.3622 0.9920 0.6431
0.6298 0.9920 0.8569
0.0080 0.3702 0.6431
0.3622 0.3702 0.8569
0.6667 0.3333 0.2500
0.3333 0.6667 0.7500
0.0000 0.0000 0.0000
0.0000 0.0000 0.5000
0.6667 0.3333 0.7500
0.3333 0.6667 0.2500
```

- density (Mg/m³) = 5.80
- uncorrected formation energy (meV/atom) = -2000

(16)
Compound: KAu2
Source: Alexandria
Functional: PBE-GGA
Structure: optimized geometry

```
KAu2
1.0
6.0644 0.0000 0.0000
0.0000 6.0644 0.0000
0.0000 0.0000 2.7732
Au K
2 1
Direct
0.5000 0.0000 0.5000
0.0000 0.5000 0.5000
0.0000 0.0000 0.0000
```

- energy of formation (meV per atom) = 198
- density (Mg/m³) = 7.05
- N(E_F) (states/eV/cell) = 0.0

(17)
Compound: HfAlAs
Source: Alexandria
Functional: PBE-GGA
Structure: optimized geometry

```
HfAlAs
1.0
-0.4214 2.5914 2.7761
-0.8424 -2.7873 2.4741
7.5615 -0.6927 1.7943
Al Hf As
2 2 2
Direct
0.5000 0.5000 0.0000
0.0000 0.0000 0.0000
0.5000 0.0000 0.7041
0.0000 0.5000 0.2959
0.0000 0.5000 0.6603
0.5000 0.0000 0.3397
```

- energy of formation (meV per atom) = -534
- density (Mg/m³) = 8.17
- N(E_F) (states/eV/cell) = 3.4

(18)
Compound: Nd4SmZn
Source: Alexandria
Functional: PBE-GGA
Structure: optimized geometry

```
Nd4SmZn
1.0
3.6784 0.0000 0.0000
0.0000 3.6784 0.0000
0.0000 0.0000 14.0501
Nd Zn Sm
4 1 1
Direct
0.0000 0.0000 0.6304
0.0000 0.0000 0.3696
0.5000 0.5000 0.1825
0.5000 0.5000 0.8175
0.5000 0.5000 0.5000
0.0000 0.0000 0.0000
```

- energy of formation (meV per atom) = -95
- excess energy over the best structure of this formula in the dataset (eV per atom) = 0.0000
- density (Mg/m³) = 6.92
- N(E_F) (states/eV/cell) = 7.4

(19)
Compound: Rb2HoAlTe4
Source: Alexandria
Functional: PBE-GGA
Structure: optimized geometry

```
Rb2HoAlTe4
1.0
7.4283 0.0000 0.0000
3.7141 6.3956 0.0000
3.7141 0.0000 6.3956
Te Rb Al Ho
4 2 1 1
Direct
0.8873 0.0000 0.6684
0.5556 0.0000 0.3316
0.4444 0.6684 0.0000
0.1127 0.3316 0.0000
0.5000 0.5000 0.5000
0.0000 0.5000 0.5000
0.5000 0.0000 0.0000
0.0000 0.0000 0.0000
```

- density (Mg/m³) = 4.77
- N(E_F) (states/eV/cell) = 0.0
- uncorrected formation energy (meV/atom) = -996

(20)
Compound: SrNdInPd
Source: Alexandria
Functional: PBE-GGA
Structure: optimized geometry

```
SrNdInPd
1.0
-2.2009 -4.7586 -1.3247
3.0342 -3.8319 -2.3137
1.3123 -4.4521 2.7748
Nd In Pd Sr
1 1 1 1
Direct
0.2500 0.2500 0.2500
0.5000 0.5000 0.5000
0.0000 0.0000 0.0000
0.7500 0.7500 0.7500
```

- energy of formation (meV per atom) = -439
- density (Mg/m³) = 6.73
- N(E_F) (states/eV/cell) = 3.9

(21)
Compound: La3TmZn2
Source: Alexandria
Functional: PBE-GGA
Structure: optimized geometry

```
La3TmZn2
1.0
5.3072 0.0000 0.0000
0.0000 6.7734 0.0000
0.0000 0.0000 9.5067
Zn La Tm
4 6 2
Direct
0.0000 0.7866 0.3488
0.0000 0.2866 0.6512
0.5000 0.2136 0.1617
0.5000 0.7136 0.8383
0.0000 0.3116 0.3350
0.0000 0.0031 0.0566
0.5000 0.6763 0.1760
0.0000 0.8116 0.6650
0.0000 0.5031 0.9434
0.5000 0.1763 0.8240
0.5000 0.0088 0.4482
0.5000 0.5088 0.5518
```

- energy of formation (meV per atom) = -207
- excess energy over the best structure of this formula in the dataset (eV per atom) = 0.0000
- density (Mg/m³) = 6.96
- N(E_F) (states/eV/cell) = 7.4